(1)
B36O5 at its PBEsol-relaxed geometry, computed with meta-GGA SCAN.

Raw formation energy ... -27.1 eV per formula unit

Unit cell a=7.375 b=7.376 c=11.541 alpha=73.46 beta=87.37 gamma=87.98
Sites, in units of the cell vectors:
B (0.567, 0.540, 0.802)
B (0.435, 0.111, 0.372)
B (0.667, 0.054, 0.889)
B (0.302, 0.625, 0.626)
B (0.165, 0.558, 0.886)
B (0.001, 0.726, 0.221)
B (0.002, 0.953, 0.442)
B (0.999, 0.274, 0.779)
B (0.831, 0.106, 0.780)
B (0.202, 0.203, 0.708)
B (0.565, 0.889, 0.628)
B (0.930, 0.641, 0.858)
B (0.927, 0.925, 0.715)
B (0.164, 0.991, 0.668)
B (0.443, 0.444, 0.708)
B (0.999, 0.392, 0.886)
B (0.937, 0.292, 0.533)
B (0.675, 0.502, 0.668)
B (0.059, 0.032, 0.802)
B (0.165, 0.215, 0.556)
B (0.298, 0.959, 0.959)
B (0.835, 0.785, 0.444)
B (0.333, 0.168, 0.999)
B (0.941, 0.968, 0.198)
B (0.169, 0.894, 0.220)
B (0.001, 0.608, 0.114)
B (0.698, 0.375, 0.374)
B (0.504, 0.779, 0.780)
B (0.201, 0.539, 0.041)
B (0.439, 0.128, 0.865)
B (0.833, 0.330, 0.669)
B (0.494, 0.445, 0.445)
B (0.499, 0.112, 0.111)
B (0.557, 0.556, 0.292)
B (0.070, 0.359, 0.142)
B (0.941, 0.279, 0.041)
B (0.501, 0.888, 0.889)
B (0.718, 0.715, 0.715)
B (0.835, 0.442, 0.114)
B (0.796, 0.121, 0.627)
B (0.433, 0.460, 0.198)
B (0.496, 0.221, 0.220)
B (0.336, 0.612, 0.779)
B (0.282, 0.285, 0.285)
B (0.561, 0.872, 0.135)
B (0.664, 0.388, 0.221)
B (0.336, 0.832, 0.669)
B (0.167, 0.670, 0.331)
B (0.664, 0.168, 0.331)
B (0.557, 0.205, 0.467)
B (0.506, 0.555, 0.555)
B (0.204, 0.879, 0.373)
B (0.676, 0.724, 0.557)
B (0.836, 0.009, 0.332)
B (0.667, 0.832, 0.001)
B (0.938, 0.614, 0.374)
B (0.333, 0.946, 0.111)
B (0.325, 0.498, 0.332)
B (0.832, 0.667, 0.002)
B (0.443, 0.795, 0.533)
B (0.062, 0.386, 0.626)
B (0.799, 0.461, 0.959)
B (0.562, 0.222, 0.959)
B (0.702, 0.041, 0.041)
B (0.059, 0.721, 0.959)
B (0.998, 0.047, 0.558)
B (0.798, 0.797, 0.292)
B (0.063, 0.708, 0.467)
B (0.324, 0.276, 0.443)
B (0.168, 0.333, 0.998)
B (0.073, 0.075, 0.285)
B (0.438, 0.778, 0.041)
O (0.622, 0.419, 0.921)
O (0.880, 0.082, 0.079)
O (0.120, 0.918, 0.921)
O (0.378, 0.581, 0.079)
O (0.123, 0.585, 0.586)
O (0.877, 0.415, 0.414)
O (0.619, 0.754, 0.254)
O (0.381, 0.913, 0.414)
O (0.619, 0.087, 0.586)
O (0.381, 0.246, 0.746)

***

(2)
ZrCu2H2 at its PBEsol-relaxed geometry, computed with meta-GGA SCAN.

E ... -67.54 eV per cell

Unit cell a=3.004 b=3.004 c=6.074 alpha=104.32 beta=104.32 gamma=90.00
Sites, in units of the cell vectors:
Cu (0.670, 0.670, 0.340)
Cu (0.330, 0.330, 0.660)
H (0.750, 0.250, 0.500)
H (0.250, 0.750, 0.500)
Zr (0.000, 0.000, 0.000)

***

(3)
TcAsSe2O at its PBEsol-relaxed geometry, computed with meta-GGA SCAN.

Raw formation energy ... 3.8 eV per formula unit

Unit cell a=4.136 b=4.326 c=4.326 alpha=90.00 beta=90.00 gamma=90.00
Sites, in units of the cell vectors:
As (0.500, 0.000, 0.000)
O (0.000, 0.000, 0.000)
Se (0.000, 0.500, 0.000)
Se (0.000, 0.000, 0.500)
Tc (0.500, 0.500, 0.500)